(1)
## Na12Au3Br5 (PBE)

Data for a relaxed Na12Au3Br5 crystal.

* formation energy (no corrections): -15.14 eV per formula unit
* space group: Ia-3d (230)
* raw total energy: -2.458 eV/atom

Cell lengths 15.0564, 15.0564, 15.0564 Å; angles 109.47, 109.47, 109.47 degrees
Element x y z (fractional)
Au 0.7500 0.3750 0.1250
Au 0.8750 0.7500 0.1250
Au 0.3750 0.7500 0.6250
Au 0.2500 0.1250 0.3750
Au 0.8750 0.1250 0.2500
Au 0.3750 0.6250 0.2500
Au 0.6250 0.3750 0.7500
Au 0.1250 0.8750 0.7500
Au 0.7500 0.8750 0.6250
Au 0.6250 0.2500 0.3750
Au 0.1250 0.2500 0.8750
Au 0.2500 0.6250 0.8750
Br 0.1250 0.3750 0.2500
Br 0.0000 0.5000 0.0000
Br 0.0000 0.0000 0.0000
Br 0.3750 0.2500 0.1250
Br 0.5000 0.0000 0.5000
Br 0.5000 0.5000 0.0000
Br 0.1250 0.7500 0.3750
Br 0.7500 0.1250 0.8750
Br 0.7500 0.6250 0.3750
Br 0.3750 0.1250 0.7500
Br 0.6250 0.8750 0.2500
Br 0.5000 0.5000 0.5000
Br 0.5000 0.0000 0.0000
Br 0.0000 0.0000 0.5000
Br 0.2500 0.3750 0.6250
Br 0.2500 0.8750 0.1250
Br 0.0000 0.5000 0.5000
Br 0.8750 0.2500 0.6250
Br 0.6250 0.7500 0.8750
Br 0.8750 0.6250 0.7500
Na 0.7251 0.1415 0.0578
Na 0.3327 0.5578 0.4163
Na 0.9422 0.3585 0.2749
Na 0.5578 0.2251 0.1415
Na 0.5836 0.7251 0.6673
Na 0.9422 0.5837 0.1673
Na 0.3327 0.7749 0.4164
Na 0.0837 0.9164 0.1415
Na 0.5837 0.9422 0.6673
Na 0.7251 0.5836 0.1673
Na 0.7749 0.4422 0.3585
Na 0.8327 0.9163 0.0578
Na 0.1415 0.7251 0.5578
Na 0.3585 0.4163 0.0836
Na 0.0836 0.9163 0.3585
Na 0.4164 0.1415 0.5837
Na 0.0836 0.1673 0.2251
Na 0.4422 0.6673 0.0837
Na 0.8327 0.9164 0.2749
Na 0.1415 0.4164 0.0837
Na 0.3585 0.9422 0.7749
Na 0.5837 0.6415 0.4164
Na 0.9163 0.8327 0.5578
Na 0.7749 0.3327 0.9164
Na 0.4163 0.3585 0.5836
Na 0.0837 0.1673 0.4422
Na 0.2251 0.6673 0.0836
Na 0.1673 0.0836 0.7251
Na 0.6415 0.0578 0.2251
Na 0.8585 0.5836 0.9163
Na 0.5578 0.3327 0.9163
Na 0.5836 0.8585 0.4163
Na 0.9164 0.8327 0.7749
Na 0.9164 0.0837 0.6415
Na 0.8585 0.2749 0.4422
Na 0.1673 0.0837 0.9422
Na 0.6415 0.5837 0.9164
Na 0.4163 0.0578 0.3327
Na 0.2749 0.4164 0.8327
Na 0.2251 0.5578 0.6415
Na 0.9163 0.0836 0.8585
Na 0.6673 0.2251 0.5836
Na 0.4422 0.7749 0.8585
Na 0.0578 0.4163 0.8327
Na 0.4164 0.2749 0.3327
Na 0.0578 0.6415 0.7251
Na 0.6673 0.4422 0.5837
Na 0.2749 0.8585 0.9422

=====

(2)
## Ca2HgTe (PBE)

Data for a relaxed Ca2HgTe crystal.

* formation energy (no corrections): -3.06 eV per formula unit
* space group: I-42d (122)
* energy above the most stable polymorph in this dataset: 0.179 eV/atom
* raw total energy: -2.626 eV/atom

Cell lengths 8.3193, 8.3193, 7.0483 Å; angles 53.83, 53.83, 90.00 degrees
Element x y z (fractional)
Ca 0.6223 0.1250 0.2500
Ca 0.1277 0.6250 0.2500
Ca 0.3750 0.3777 0.7500
Ca 0.8750 0.8723 0.7500
Te 0.5000 0.5000 0.0000
Te 0.2500 0.7500 0.5000
Hg 0.0000 0.0000 0.0000
Hg 0.7500 0.2500 0.5000

=====

(3)
## Hf3CuSi3 (PBE)

Data for a relaxed Hf3CuSi3 crystal.

* formation energy (no corrections): -5.09 eV per formula unit
* space group: C2/m (12)
* raw total energy: -7.902 eV/atom

Cell lengths 3.7963, 5.3117, 12.3224 Å; angles 84.28, 81.14, 69.06 degrees
Element x y z (fractional)
Hf 0.5140 0.3479 0.6241
Hf 0.4860 0.6521 0.3759
Hf 0.2525 0.2687 0.2263
Hf 0.7475 0.7313 0.7737
Hf 0.3887 0.2999 0.9227
Hf 0.6113 0.7001 0.0773
Cu 0.7682 0.0717 0.3919
Cu 0.2318 0.9283 0.6081
Si 0.8684 0.7192 0.5441
Si 0.1316 0.2808 0.4559
Si 0.1138 0.8484 0.9240
Si 0.8862 0.1516 0.0760
Si 0.9725 0.8257 0.2292
Si 0.0275 0.1743 0.7708

=====

- Look up the formation energy (no corrections) of the first one.
  -15.14 eV per formula unit